Record 1
Compound: PrPuSc2Se4
Source: Alexandria
Functional: PBE
Structure: optimized geometry

Structure (CIF):
```
data_PrPuSc2Se4
_chemical_formula_sum 'Pr1 Pu1 Sc2 Se4'
_symmetry_space_group_name_H-M 'P 1 2/m 1'
_symmetry_Int_Tables_number 10
_symmetry_space_group_name_Hall '-P 2y'
_cell_length_a 6.972
_cell_length_b 3.996
_cell_length_c 7.066
_cell_angle_alpha 90.00
_cell_angle_beta 108.83
_cell_angle_gamma 90.00
loop_
_atom_site_label
_atom_site_type_symbol
_atom_site_fract_x
_atom_site_fract_y
_atom_site_fract_z
Pr1 Pr 0.000 0.000 0.000
Pu1 Pu 0.500 0.500 0.000
Sc1 Sc 0.000 0.500 0.500
Sc2 Sc 0.500 0.000 0.500
Se1 Se 0.247 0.000 0.727
Se2 Se 0.263 0.500 0.277
```

Results
* uncorrected formation energy: -1.64 eV per atom
* raw total energy: -7.354 eV/atom
* N(E_F): 1.302 states/eV per atom

***

Record 2
Compound: CaScCr
Source: Alexandria
Functional: PBE
Structure: optimized geometry

Structure (CIF):
```
data_CaScCr
_chemical_formula_sum 'Ca4 Sc4 Cr4'
_symmetry_space_group_name_H-M 'F -4 3 m'
_symmetry_Int_Tables_number 216
_symmetry_space_group_name_Hall 'F -4 2 3'
_cell_length_a 7.018
_cell_length_b 7.018
_cell_length_c 7.018
_cell_angle_alpha 90.00
_cell_angle_beta 90.00
_cell_angle_gamma 90.00
loop_
_atom_site_label
_atom_site_type_symbol
_atom_site_fract_x
_atom_site_fract_y
_atom_site_fract_z
Ca1 Ca 0.000 0.000 0.000
Sc1 Sc 0.000 0.000 0.500
Cr1 Cr 0.250 0.250 0.750
```

Results
* raw total energy: -5.200 eV/atom
* N(E_F): 1.286 states/eV per atom

***

Record 3
Compound: LaAl2Ni5
Source: Alexandria
Functional: PBE
Structure: optimized geometry

Structure (CIF):
```
data_LaAl2Ni5
_chemical_formula_sum 'La2 Al4 Ni10'
_symmetry_space_group_name_H-M 'I m m m'
_symmetry_Int_Tables_number 71
_symmetry_space_group_name_Hall '-I 2 2'
_cell_length_a 3.730
_cell_length_b 6.608
_cell_length_c 9.657
_cell_angle_alpha 90.00
_cell_angle_beta 90.00
_cell_angle_gamma 90.00
loop_
_atom_site_label
_atom_site_type_symbol
_atom_site_fract_x
_atom_site_fract_y
_atom_site_fract_z
La1 La 0.000 0.000 0.000
Al1 Al 0.000 0.500 0.238
Ni1 Ni 0.000 0.187 0.364
Ni2 Ni 0.000 0.500 0.000
```

Results
* raw total energy: -5.524 eV/atom
* N(E_F): 0.526 states/eV per atom

***

Record 4
Compound: CoPOs2
Source: Alexandria
Functional: PBE
Structure: optimized geometry

Structure (CIF):
```
data_CoPOs2
_chemical_formula_sum 'Co3 P3 Os6'
_symmetry_space_group_name_H-M 'R 3 m'
_symmetry_Int_Tables_number 160
_symmetry_space_group_name_Hall 'R 3 -2"'
_cell_length_a 2.7483
_cell_length_b 2.7483
_cell_length_c 23.6152
_cell_angle_alpha 90.00
_cell_angle_beta 90.00
_cell_angle_gamma 120.00
loop_
_atom_site_label
_atom_site_type_symbol
_atom_site_fract_x
_atom_site_fract_y
_atom_site_fract_z
Co1 Co 0.0000 0.0000 0.0000
P1 P 0.0000 0.0000 0.2627
Os1 Os 0.0000 0.0000 0.5168
Os2 Os 0.0000 0.0000 0.7564
```

Results
* raw total energy: -8.658 eV/atom
* N(E_F): 1.041 states/eV per atom

***

Record 5
Compound: TaPt4W
Source: Alexandria
Functional: PBE
Structure: optimized geometry

Structure (CIF):
```
data_TaPt4W
_chemical_formula_sum 'Ta4 Pt16 W4'
_symmetry_space_group_name_H-M 'F -4 3 m'
_symmetry_Int_Tables_number 216
_symmetry_space_group_name_Hall 'F -4 2 3'
_cell_length_a 7.341
_cell_length_b 7.341
_cell_length_c 7.341
_cell_angle_alpha 90.00
_cell_angle_beta 90.00
_cell_angle_gamma 90.00
loop_
_atom_site_label
_atom_site_type_symbol
_atom_site_fract_x
_atom_site_fract_y
_atom_site_fract_z
Ta1 Ta 0.000 0.000 0.000
Pt1 Pt 0.125 0.125 0.625
W1 W 0.250 0.250 0.250
```

Results
* raw total energy: -8.163 eV/atom
* N(E_F): 1.033 states/eV per atom

***

Record 6
Compound: Th3Sc4
Source: Alexandria
Functional: PBE
Structure: optimized geometry

Structure (CIF):
```
data_Th3Sc4
_chemical_formula_sum 'Th6 Sc8'
_symmetry_space_group_name_H-M 'C 1 2/m 1'
_symmetry_Int_Tables_number 12
_symmetry_space_group_name_Hall '-C 2y'
_cell_length_a 16.730
_cell_length_b 3.295
_cell_length_c 8.142
_cell_angle_alpha 90.00
_cell_angle_beta 118.31
_cell_angle_gamma 90.00
loop_
_atom_site_label
_atom_site_type_symbol
_atom_site_fract_x
_atom_site_fract_y
_atom_site_fract_z
Th1 Th 0.000 0.000 0.000
Th2 Th 0.223 0.000 0.154
Sc1 Sc 0.076 0.000 0.699
Sc2 Sc 0.128 0.500 0.403
```

Results
* raw total energy: -6.632 eV/atom
* N(E_F): 1.555 states/eV per atom

***

Record 7
Compound: In2HgPd2
Source: Alexandria
Functional: PBE
Structure: optimized geometry

Structure (CIF):
```
data_In2HgPd2
_chemical_formula_sum 'In4 Hg2 Pd4'
_symmetry_space_group_name_H-M 'P 4/m b m'
_symmetry_Int_Tables_number 127
_symmetry_space_group_name_Hall '-P 4 2ab'
_cell_length_a 7.542
_cell_length_b 7.542
_cell_length_c 3.444
_cell_angle_alpha 90.00
_cell_angle_beta 90.00
_cell_angle_gamma 90.00
loop_
_atom_site_label
_atom_site_type_symbol
_atom_site_fract_x
_atom_site_fract_y
_atom_site_fract_z
In1 In 0.153 0.347 0.000
Hg1 Hg 0.000 0.000 0.500
Pd1 Pd 0.144 0.644 0.500
```

Results
* raw total energy: -3.604 eV/atom
* N(E_F): 0.190 states/eV per atom

***

Record 8
Compound: LaNb2Co
Source: Alexandria
Functional: PBE
Structure: optimized geometry

Structure (CIF):
```
data_LaNb2Co
_chemical_formula_sum 'La4 Nb8 Co4'
_symmetry_space_group_name_H-M 'I 41/a m d'
_symmetry_Int_Tables_number 141
_cell_length_a 4.980
_cell_length_b 4.980
_cell_length_c 16.768
_cell_angle_alpha 90.00
_cell_angle_beta 90.00
_cell_angle_gamma 90.00
loop_
_symmetry_equiv_pos_as_xyz
'x,y,z'
'-x,-y,-z'
'-y+1/4,x+3/4,z+1/4'
'y+1/4,-x+3/4,-z+1/4'
'-x+1/2,-y,z+1/2'
'x+1/2,y,-z+1/2'
'y+1/4,-x+1/4,z+3/4'
'-y+1/4,x+1/4,-z+3/4'
'x,-y,-z'
'-x,y,z'
'-y+1/4,-x+1/4,-z+3/4'
'y+1/4,x+1/4,z+3/4'
'-x+1/2,y,-z+1/2'
'x+1/2,-y,z+1/2'
'y+1/4,x+3/4,-z+1/4'
'-y+1/4,-x+3/4,z+1/4'
'x+1/2,y+1/2,z+1/2'
'-x+1/2,-y+1/2,-z+1/2'
'-y+3/4,x+1/4,z+3/4'
'y+3/4,-x+1/4,-z+3/4'
'-x,-y+1/2,z'
'x,y+1/2,-z'
'y+3/4,-x+3/4,z+1/4'
'-y+3/4,x+3/4,-z+1/4'
'x+1/2,-y+1/2,-z+1/2'
'-x+1/2,y+1/2,z+1/2'
'-y+3/4,-x+3/4,-z+1/4'
'y+3/4,x+3/4,z+1/4'
'-x,y+1/2,-z'
'x,-y+1/2,z'
'y+3/4,x+1/4,-z+3/4'
'-y+3/4,-x+1/4,z+3/4'
loop_
_atom_site_label
_atom_site_type_symbol
_atom_site_fract_x
_atom_site_fract_y
_atom_site_fract_z
La1 La 0.000 0.250 0.375
Nb1 Nb 0.000 0.000 0.000
Co1 Co 0.000 0.250 0.875
```

Results
* raw total energy: -7.223 eV/atom
* N(E_F): 1.510 states/eV per atom

***

Record 9
Compound: SrLa2Tb
Source: Alexandria
Functional: PBE
Structure: optimized geometry

Structure (CIF):
```
data_SrLa2Tb
_chemical_formula_sum 'Sr3 La6 Tb3'
_symmetry_space_group_name_H-M 'R 3 m'
_symmetry_Int_Tables_number 160
_symmetry_space_group_name_Hall 'R 3 -2"'
_cell_length_a 3.7802
_cell_length_b 3.7802
_cell_length_c 37.7915
_cell_angle_alpha 90.00
_cell_angle_beta 90.00
_cell_angle_gamma 120.00
loop_
_atom_site_label
_atom_site_type_symbol
_atom_site_fract_x
_atom_site_fract_y
_atom_site_fract_z
Sr1 Sr 0.0000 0.0000 0.0000
La1 La 0.0000 0.0000 0.5765
La2 La 0.0000 0.0000 0.7573
Tb1 Tb 0.0000 0.0000 0.1668
```

Results
* raw total energy: -3.956 eV/atom
* N(E_F): 1.311 states/eV per atom

***

Record 10
Compound: La2Y3Cd2
Source: Alexandria
Functional: PBE
Structure: optimized geometry

Structure (CIF):
```
data_La2Y3Cd2
_chemical_formula_sum 'La4 Y6 Cd4'
_symmetry_space_group_name_H-M 'C m m m'
_symmetry_Int_Tables_number 65
_symmetry_space_group_name_Hall '-C 2 2'
_cell_length_a 3.731
_cell_length_b 31.287
_cell_length_c 3.674
_cell_angle_alpha 90.00
_cell_angle_beta 90.00
_cell_angle_gamma 90.00
loop_
_atom_site_label
_atom_site_type_symbol
_atom_site_fract_x
_atom_site_fract_y
_atom_site_fract_z
La1 La 0.000 0.206 0.000
Y1 Y 0.000 0.077 0.000
Y2 Y 0.000 0.500 0.500
Cd1 Cd 0.000 0.364 0.500
```

Results
* raw total energy: -4.574 eV/atom
* N(E_F): 1.251 states/eV per atom

***

Record 11
Compound: KMnZnS3
Source: Alexandria
Functional: PBE
Structure: optimized geometry

Structure (CIF):
```
data_KMnZnS3
_chemical_formula_sum 'K2 Mn2 Zn2 S6'
_symmetry_space_group_name_H-M 'P 1 21/m 1'
_symmetry_Int_Tables_number 11
_symmetry_space_group_name_Hall '-P 2yb'
_cell_length_a 7.329
_cell_length_b 3.603
_cell_length_c 11.136
_cell_angle_alpha 90.00
_cell_angle_beta 107.17
_cell_angle_gamma 90.00
loop_
_atom_site_label
_atom_site_type_symbol
_atom_site_fract_x
_atom_site_fract_y
_atom_site_fract_z
K1 K 0.013 0.250 0.303
Mn1 Mn 0.470 0.250 0.124
Zn1 Zn 0.494 0.250 0.605
S1 S 0.291 0.750 0.531
S2 S 0.305 0.750 0.188
S3 S 0.320 0.250 0.889
```

Results
* uncorrected formation energy: -0.81 eV per atom
* raw total energy: -4.797 eV/atom
* N(E_F): 0.056 states/eV per atom

***

Record 12
Compound: Ca2ZrC
Source: Alexandria
Functional: PBE
Structure: optimized geometry

Structure (CIF):
```
data_Ca2ZrC
_chemical_formula_sum 'Ca8 Zr4 C4'
_symmetry_space_group_name_H-M 'I -4 2 d'
_symmetry_Int_Tables_number 122
_symmetry_space_group_name_Hall 'I -4 2bw'
_cell_length_a 9.722
_cell_length_b 9.722
_cell_length_c 4.461
_cell_angle_alpha 90.00
_cell_angle_beta 90.00
_cell_angle_gamma 90.00
loop_
_atom_site_label
_atom_site_type_symbol
_atom_site_fract_x
_atom_site_fract_y
_atom_site_fract_z
Ca1 Ca 0.095 0.750 0.125
Zr1 Zr 0.000 0.000 0.500
C1 C 0.000 0.000 0.000
```

Results
* raw total energy: -5.032 eV/atom
* N(E_F): 0.896 states/eV per atom

***

- Look up the N(E_F) of the twelfth one.
  0.896 states/eV per atom